Material: CoPt2Au
Method: DFT, meta-GGA SCAN
State: PBEsol geometry

Cell: 2.735 2.735 7.703 Å, 90.00 90.00 90.00°
Atoms (fractional coordinates):
Co  0.500  0.500  0.500
Pt  0.000  0.000  0.723
Pt  0.000  0.000  0.277
Au  0.500  0.500  0.000

Computed properties:
* E_tot: -4.173 Ry/atom
* formation energy from the elements: -0.071 eV/atom
* crystal system: tetragonal